Below is crystalline Ac5OsBr5 at its relaxed geometry, with properties calculated at the GGA-PBE level.

Cell and atoms, written as CIF:
```
data_Ac5OsBr5
_chemical_formula_sum 'Ac5 Os1 Br5'
_cell_length_a 7.4804
_cell_length_b 7.4804
_cell_length_c 9.6317
_cell_angle_alpha 104.43
_cell_angle_beta 104.43
_cell_angle_gamma 49.34
_space_group_name_H-M_alt 'P 1'
_space_group_IT_number 1
loop_
_space_group_symop_operation_xyz
'x,y,z'
loop_
_atom_site_label
_atom_site_type_symbol
_atom_site_fract_x
_atom_site_fract_y
_atom_site_fract_z
Ac1 Ac 0.0000 0.0000 0.0000
Ac2 Ac 0.3426 0.3426 0.1465
Ac3 Ac 0.3490 0.3490 0.7149
Ac4 Ac 0.6510 0.6510 0.2851
Ac5 Ac 0.6574 0.6574 0.8535
Os1 Os 0.5000 0.5000 0.0000
Br1 Br 0.1174 0.1174 0.7393
Br2 Br 0.1817 0.1817 0.3703
Br3 Br 0.5000 0.5000 0.5000
Br4 Br 0.8183 0.8183 0.6297
Br5 Br 0.8826 0.8826 0.2607
```

For the calculated density, the calculation gives 7.28 g cm⁻³. The calculation puts the total moment at 0.000 μB/atom. Its total energy is -53.25 eV/f.u.